Below is an optimized crystal structure of SrCeMo2O8, with properties calculated at the PBE+U level.

Properties
The density of states at the Fermi level is 9.9 states/eV per cell. The calculation puts the total DFT energy (no corrections) at -87.9 eV for the cell shown. The value obtained for the volume is 18.9 A^3/atom.

Cell: 6.0201 6.0201 7.2437 Å, 90.00 90.00 120.00°
Space group P-3m1 (No. 164)
Symmetry-distinct sites (fractional):
Sr1 0.0000 0.0000 0.0000 (multiplicity 1)
Ce1 0.0000 0.0000 0.5000 (multiplicity 1)
Mo1 0.3333 0.6667 0.7979 (multiplicity 2)
O1 0.1637 0.3274 0.7188 (multiplicity 6)
O2 0.3333 0.6667 0.0427 (multiplicity 2)